A plane-wave DFT calculation with PBE-GGA was carried out for a relaxed structure of EuHoCuPb.

Output
crystal system	cubic
VASP energy	-5.96	eV per atom
energy of formation	-298.4	meV/atom

Lattice parameters (Å, degrees): 5.309 5.309 5.309 60.00 60.00 60.00
Positions (direct):
Eu: 0.000 0.000 0.000
Ho: 0.500 0.500 0.500
Cu: 0.250 0.250 0.250
Pb: 0.750 0.750 0.750